Record 1
## Ba2NaPdS (GGA-PBE)

Data for a relaxed structure of Ba2NaPdS.

Results
Density of states at the Fermi level   4.49 states/eV/f.u.
E_form (uncorrected)   -0.48 eV per atom
Density   3.920 g/cm3
Volume   185 Å³/cell

Unit cell a=6.291 b=4.668 c=6.291 alpha=90.00 beta=90.00 gamma=90.00
Positions (direct):
1 Ba 0.000 0.000 0.500
2 Na 0.500 0.500 0.500
3 Ba 0.500 0.000 0.000
4 S 0.000 0.500 0.000
5 Pd 0.000 0.000 0.000

Record 2
## Ba6Na2PdS (GGA-PBE)

Data for a relaxed structure of Ba6Na2PdS.

Results
Density of states at the Fermi level   6.79 states/eV/f.u.
E_form (uncorrected)   -0.48 eV per atom
Density   3.262 g/cm3
Volume   513 Å³/cell

Unit cell a=8.989 b=8.989 c=8.988 alpha=120.02 beta=120.02 gamma=90.00
Positions (direct):
1 Pd 0.500 0.500 0.000
2 Na 0.750 0.251 0.500
3 Ba 0.250 0.750 0.000
4 Ba 0.749 0.750 0.499
5 S 0.000 0.000 0.000
6 Ba 0.749 0.750 0.000
7 Ba 0.251 0.251 0.000
8 Ba 0.749 0.251 0.000
9 Na 0.250 0.751 0.500
10 Ba 0.250 0.251 0.501

Record 3
## Ba2NaSbPd6 (GGA-PBE)

Data for a relaxed structure of Ba2NaSbPd6.

Results
Density of states at the Fermi level   4.08 states/eV/f.u.
E_form (uncorrected)   -0.41 eV per atom
Density   7.030 g/cm3
Volume   250 Å³/cell

Unit cell a=6.981 b=7.413 c=6.977 alpha=79.31 beta=48.70 gamma=97.75
Positions (direct):
1 Pd 0.746 0.717 0.508
2 Ba 0.747 0.213 0.533
3 Pd 0.254 0.283 0.492
4 Ba 0.253 0.787 0.467
5 Pd 0.252 0.416 0.831
6 Pd 0.779 0.286 0.969
7 Na 0.000 0.000 0.000
8 Pd 0.748 0.584 0.169
9 Sb 0.500 0.500 0.000
10 Pd 0.221 0.714 0.031

Record 4
## BaNaSb2Pd5 (GGA-PBE)

Data for a relaxed structure of BaNaSb2Pd5.

Results
Density of states at the Fermi level   3.74 states/eV/f.u.
E_form (uncorrected)   -0.40 eV per atom
Density   7.529 g/cm3
Volume   206 Å³/cell

Unit cell a=4.868 b=4.868 c=8.711 alpha=90.00 beta=90.00 gamma=90.00
Positions (direct):
1 Ba 0.000 0.000 0.500
2 Pd 0.500 0.000 0.723
3 Pd 0.000 0.500 0.277
4 Sb 0.500 0.500 0.171
5 Pd 0.500 0.500 0.500
6 Pd 0.500 0.000 0.277
7 Na 0.000 0.000 0.000
8 Pd 0.000 0.500 0.723
9 Sb 0.500 0.500 0.829

Record 5
## Ba2NaSiPd (GGA-PBE)

Data for a relaxed structure of Ba2NaSiPd.

Results
Density of states at the Fermi level   3.82 states/eV/f.u.
E_form (uncorrected)   0.46 eV per atom
Density   3.902 g/cm3
Relative energy among the computed polymorphs   70.8 kJ per mole of atoms
Volume   184 Å³/cell

Unit cell a=6.164 b=4.840 c=6.164 alpha=90.00 beta=90.00 gamma=90.00
Positions (direct):
1 Ba 0.500 0.000 0.000
2 Pd 0.500 0.500 0.500
3 Ba 0.000 0.000 0.500
4 Si 0.000 0.500 0.000
5 Na 0.000 0.000 0.000

Record 6
## Ba2NaSiPd (GGA-PBE)

Data for a relaxed structure of Ba2NaSiPd.

Results
Density of states at the Fermi level   3.90 states/eV/f.u.
E_form (uncorrected)   -0.27 eV per atom
Density   3.832 g/cm3
Relative energy among the computed polymorphs   0.0 kJ per mole of atoms
Volume   187 Å³/cell

Unit cell a=6.318 b=6.318 c=4.691 alpha=90.00 beta=90.00 gamma=90.00
Positions (direct):
1 Na 0.500 0.500 0.500
2 Pd 0.000 0.000 0.000
3 Ba 0.000 0.500 0.000
4 Ba 0.500 0.000 0.000
5 Si 0.000 0.000 0.500

Record 7
## Ba2NaSr6Pd (GGA-PBE)

Data for a relaxed structure of Ba2NaSr6Pd.

Results
Density of states at the Fermi level   8.55 states/eV/f.u.
Density   2.895 g/cm3
DFT formation energy   -0.0820 eV per atom
Volume   533 Å³/cell

Unit cell a=9.106 b=9.106 c=9.088 alpha=119.97 beta=119.97 gamma=90.02
Positions (direct):
1 Sr 0.768 0.768 0.535
2 Sr 0.768 0.768 0.000
3 Ba 0.749 0.250 0.500
4 Pd 0.000 0.001 0.000
5 Sr 0.232 0.233 0.999
6 Sr 0.232 0.768 0.000
7 Sr 0.232 0.233 0.465
8 Sr 0.767 0.233 0.000
9 Ba 0.250 0.750 0.500
10 Na 0.500 0.501 0.000

Record 8
## BaNaSrPd2 (GGA-PBE)

Data for a relaxed structure of BaNaSrPd2.

Results
Density of states at the Fermi level   2.90 states/eV/f.u.
Density   5.085 g/cm3
DFT formation energy   0.1939 eV per atom
Volume   150 Å³/cell

Unit cell a=5.380 b=5.198 c=5.380 alpha=90.00 beta=90.00 gamma=90.00
Positions (direct):
1 Ba 0.500 0.500 0.500
2 Sr 0.000 0.500 0.000
3 Na 0.000 0.000 0.000
4 Pd 0.500 0.000 0.000
5 Pd 0.000 0.000 0.500

Record 9
## Ba2NaSrPd (GGA-PBE)

Data for a relaxed structure of Ba2NaSrPd.

Results
Density of states at the Fermi level   5.58 states/eV/f.u.
Density   3.463 g/cm3
Relative energy among the computed polymorphs   14.0 kJ per mole of atoms
DFT formation energy   -0.1214 eV per atom
Volume   236 Å³/cell

Unit cell a=6.240 b=6.240 c=6.055 alpha=90.00 beta=90.00 gamma=90.00
Positions (direct):
1 Ba 0.500 0.000 0.000
2 Sr 0.500 0.500 0.500
3 Pd 0.000 0.000 0.000
4 Ba 0.000 0.500 0.000
5 Na 0.000 0.000 0.500

Record 10
## Ba4Na2Sr2Pd (GGA-PBE)

Data for a relaxed structure of Ba4Na2Sr2Pd.

Results
Density of states at the Fermi level   7.89 states/eV/f.u.
Density   3.086 g/cm3
DFT formation energy   -0.1454 eV per atom
Volume   472 Å³/cell

Unit cell a=7.362 b=8.549 c=8.549 alpha=62.22 beta=83.46 gamma=83.46
Positions (direct):
1 Ba 0.703 0.349 0.853
2 Ba 0.297 0.651 0.147
3 Na 0.218 0.647 0.647
4 Pd 0.500 0.000 0.000
5 Na 0.782 0.353 0.353
6 Sr 0.189 0.154 0.154
7 Ba 0.297 0.147 0.651
8 Ba 0.703 0.853 0.349
9 Sr 0.811 0.846 0.846

Record 11
## Ba2Na2Sr2Pd (GGA-PBE)

Data for a relaxed structure of Ba2Na2Sr2Pd.

Results
Density of states at the Fermi level   5.32 states/eV/f.u.
Density   3.020 g/cm3
DFT formation energy   -0.1759 eV per atom
Volume   331 Å³/cell

Unit cell a=4.709 b=8.364 c=9.471 alpha=67.19 beta=75.63 gamma=90.00
Positions (direct):
1 Na 0.126 0.600 0.750
2 Ba 0.188 0.174 0.624
3 Ba 0.812 0.826 0.376
4 Na 0.874 0.400 0.250
5 Pd 0.000 0.000 0.000
6 Sr 0.495 0.230 0.011
7 Sr 0.505 0.770 0.989

Record 12
## Ba2NaSrPd (GGA-PBE)

Data for a relaxed structure of Ba2NaSrPd.

Results
Density of states at the Fermi level   3.40 states/eV/f.u.
Density   3.342 g/cm3
Relative energy among the computed polymorphs   0.0 kJ per mole of atoms
DFT formation energy   -0.2668 eV per atom
Volume   244 Å³/cell

Unit cell a=6.327 b=6.327 c=6.103 alpha=90.00 beta=90.00 gamma=90.00
Positions (direct):
1 Na 0.500 0.500 0.500
2 Sr 0.000 0.000 0.500
3 Ba 0.500 0.000 0.000
4 Ba 0.000 0.500 0.000
5 Pd 0.000 0.000 0.000

Record 13
## BaNaTl2Pd2 (GGA-PBE)

Data for a relaxed structure of BaNaTl2Pd2.

Results
Density of states at the Fermi level   1.52 states/eV/f.u.
Density   8.281 g/cm3
DFT formation energy   -0.3674 eV per atom
Volume   157 Å³/cell

Unit cell a=4.905 b=4.905 c=7.525 alpha=90.00 beta=90.00 gamma=120.00
Positions (direct):
1 Tl 0.667 0.333 0.687
2 Pd 0.333 0.667 0.700
3 Na 0.000 0.000 0.500
4 Ba 0.000 0.000 0.000
5 Pd 0.667 0.333 0.300
6 Tl 0.333 0.667 0.313

Record 14
## Ba2NaTl3Pd4 (GGA-PBE)

Data for a relaxed structure of Ba2NaTl3Pd4.

Results
Density of states at the Fermi level   6.59 states/eV/f.u.
Density   8.359 g/cm3
DFT formation energy   -0.3891 eV per atom
Volume   265 Å³/cell

Unit cell a=4.898 b=4.898 c=11.066 alpha=90.00 beta=90.00 gamma=90.00
Positions (direct):
1 Ba 0.000 0.500 0.765
2 Pd 0.000 0.500 0.365
3 Pd 0.000 0.000 0.000
4 Na 0.500 0.500 0.500
5 Tl 0.500 0.000 0.882
6 Pd 0.500 0.500 0.000
7 Tl 0.000 0.000 0.500
8 Pd 0.500 0.000 0.635
9 Tl 0.000 0.500 0.118
10 Ba 0.500 0.000 0.235

Record 15
## BaNaTlPd (GGA-PBE)

Data for a relaxed structure of BaNaTlPd.

Results
Density of states at the Fermi level   3.06 states/eV/f.u.
Density   7.067 g/cm3
DFT formation energy   -0.1991 eV per atom
Volume   111 Å³/cell

Unit cell a=5.390 b=5.390 c=5.390 alpha=60.00 beta=60.00 gamma=60.00
Positions (direct):
1 Ba 0.250 0.250 0.250
2 Pd 0.500 0.500 0.500
3 Na 0.000 0.000 0.000
4 Tl 0.750 0.750 0.750

Record 16
## BaNaYPd2 (GGA-PBE)

Data for a relaxed structure of BaNaYPd2.

Results
Density of states at the Fermi level   4.18 states/eV/f.u.
Density   5.594 g/cm3
DFT formation energy   0.4432 eV per atom
Volume   137 Å³/cell

Unit cell a=5.150 b=5.171 c=5.150 alpha=90.00 beta=90.00 gamma=90.00
Positions (direct):
1 Na 0.000 0.000 0.000
2 Pd 0.500 0.000 0.000
3 Ba 0.000 0.500 0.000
4 Y 0.500 0.500 0.500
5 Pd 0.000 0.000 0.500

Record 17
## BaNaY2Pd (GGA-PBE)

Data for a relaxed structure of BaNaY2Pd.

Results
Density of states at the Fermi level   3.98 states/eV/f.u.
Density   3.785 g/cm3
DFT formation energy   -0.0896 eV per atom
Volume   195 Å³/cell

Unit cell a=5.543 b=5.543 c=6.346 alpha=90.00 beta=90.00 gamma=90.00
Positions (direct):
1 Ba 0.000 0.000 0.500
2 Y 0.500 0.000 0.000
3 Na 0.500 0.500 0.500
4 Pd 0.000 0.000 0.000
5 Y 0.000 0.500 0.000

Record 18
## BaNaZn2Pd (GGA-PBE)

Data for a relaxed structure of BaNaZn2Pd.

Results
Density of states at the Fermi level   2.72 states/eV/f.u.
Density   4.958 g/cm3
DFT formation energy   -0.1988 eV per atom
Volume   133 Å³/cell

Unit cell a=5.017 b=5.017 c=5.291 alpha=90.00 beta=90.00 gamma=90.00
Positions (direct):
1 Na 0.000 0.000 0.500
2 Ba 0.500 0.500 0.500
3 Zn 0.500 0.000 0.000
4 Pd 0.000 0.000 0.000
5 Zn 0.000 0.500 0.000

Record 19
## BaNa4Pm (GGA-PBE)

Data for a relaxed structure of BaNa4Pm.

Results
Density of states at the Fermi level   6.75 states/eV/f.u.
Density   2.651 g/cm3
DFT formation energy   0.1837 eV per atom
Volume   234 Å³/cell

Unit cell a=6.921 b=6.921 c=6.921 alpha=60.00 beta=60.00 gamma=60.00
Positions (direct):
1 Pm 0.000 0.000 0.000
2 Na 0.626 0.626 0.626
3 Na 0.626 0.122 0.626
4 Na 0.626 0.626 0.122
5 Ba 0.250 0.250 0.250
6 Na 0.122 0.626 0.626

Record 20
## Ba2NaPm (GGA-PBE)

Data for a relaxed structure of Ba2NaPm.

Results
Density of states at the Fermi level   5.91 states/eV/f.u.
Density   3.905 g/cm3
Relative energy among the computed polymorphs   3.1 kJ per mole of atoms
DFT formation energy   0.1798 eV per atom
Volume   188 Å³/cell

Unit cell a=4.228 b=6.672 c=6.672 alpha=90.00 beta=90.00 gamma=90.00
Positions (direct):
1 Ba 0.000 0.500 0.000
2 Pm 0.500 0.500 0.500
3 Na 0.500 0.000 0.000
4 Ba 0.000 0.000 0.500

Record 21
## BaNaPm (GGA-PBE)

Data for a relaxed structure of BaNaPm.

Results
Density of states at the Fermi level   3.01 states/eV/f.u.
Density   4.009 g/cm3
Relative energy among the computed polymorphs   19.4 kJ per mole of atoms
DFT formation energy   0.2929 eV per atom
Volume   126 Å³/cell

Unit cell a=3.737 b=6.251 c=6.251 alpha=120.00 beta=90.00 gamma=90.00
Positions (direct):
1 Ba 0.696 0.667 0.333
2 Na 0.988 0.000 0.000
3 Pm 0.317 0.333 0.667

Record 22
## Ba2NaPm (GGA-PBE)

Data for a relaxed structure of Ba2NaPm.

Results
Density of states at the Fermi level   7.42 states/eV/f.u.
Density   3.848 g/cm3
Relative energy among the computed polymorphs   0.0 kJ per mole of atoms
DFT formation energy   0.1479 eV per atom
Volume   191 Å³/cell

Unit cell a=4.050 b=4.050 c=11.647 alpha=90.00 beta=90.00 gamma=90.00
Last column: magnetic moment on the atom in μB.
Positions (direct):
1 Ba 0.000 0.000 0.746  0.03
2 Ba 0.000 0.000 0.254  0.03
3 Pm 0.500 0.500 0.500  0.16
4 Na 0.500 0.500 0.000  0.00

Record 23
## BaNa2Pm (GGA-PBE)

Data for a relaxed structure of BaNa2Pm.

Results
Density of states at the Fermi level   4.08 states/eV/f.u.
Density   3.291 g/cm3
DFT formation energy   0.3145 eV per atom
Volume   166 Å³/cell

Unit cell a=3.710 b=3.710 c=14.062 alpha=82.42 beta=82.42 gamma=60.00
Positions (direct):
1 Pm 0.000 0.000 0.000
2 Na 0.084 0.084 0.747
3 Na 0.916 0.916 0.253
4 Ba 0.500 0.500 0.500

Record 24
## BaNaPm (GGA-PBE)

Data for a relaxed structure of BaNaPm.

Results
Density of states at the Fermi level   4.36 states/eV/f.u.
Density   3.898 g/cm3
Relative energy among the computed polymorphs   0.0 kJ per mole of atoms
DFT formation energy   0.0921 eV per atom
Volume   260 Å³/cell

Unit cell a=3.985 b=3.985 c=16.383 alpha=90.00 beta=90.00 gamma=90.00
Positions (direct):
1 Na 0.000 0.500 0.570
2 Na 0.500 0.000 0.430
3 Ba 0.500 0.000 0.754
4 Pm 0.500 0.000 0.067
5 Ba 0.000 0.500 0.246
6 Pm 0.000 0.500 0.933

Record 25
## Ba2NaPm (GGA-PBE)

Data for a relaxed structure of Ba2NaPm.

Results
Density of states at the Fermi level   5.84 states/eV/f.u.
Density   3.960 g/cm3
Relative energy among the computed polymorphs   16.0 kJ per mole of atoms
DFT formation energy   0.3140 eV per atom
Volume   186 Å³/cell

Unit cell a=3.887 b=3.887 c=14.363 alpha=82.22 beta=82.22 gamma=60.00
Last column: magnetic moment on the atom in μB.
Positions (direct):
1 Ba 0.914 0.914 0.258  0.01
2 Pm 0.000 0.000 0.000  0.21
3 Ba 0.086 0.086 0.742  0.01
4 Na 0.500 0.500 0.500  0.00

Record 26
## Ba2NaPm (GGA-PBE)

Data for a relaxed structure of Ba2NaPm.

Results
Density of states at the Fermi level   4.99 states/eV/f.u.
Density   3.863 g/cm3
Relative energy among the computed polymorphs   0.3 kJ per mole of atoms
DFT formation energy   0.1507 eV per atom
Volume   190 Å³/cell

Unit cell a=4.088 b=4.088 c=13.358 alpha=81.20 beta=81.20 gamma=60.00
Last column: magnetic moment on the atom in μB.
Positions (direct):
1 Ba 0.087 0.087 0.740  0.02
2 Ba 0.247 0.247 0.260  0.02
3 Pm 0.500 0.500 0.500  0.15
4 Na 0.667 0.667 0.000  0.00

Record 27
## Ba2NaPmS4 (GGA-PBE)

Data for a relaxed structure of Ba2NaPmS4.

Results
E_form (uncorrected)   -1.87 eV per atom
Density   4.137 g/cm3
Volume   229 Å³/cell

Unit cell a=4.335 b=7.468 c=7.476 alpha=71.22 beta=90.00 gamma=90.00
Positions (direct):
1 S 0.000 0.272 0.259
2 Ba 0.000 0.000 0.000
3 Pm 0.000 0.500 0.500
4 Na 0.500 0.500 0.000
5 S 0.500 0.720 0.269
6 Ba 0.500 0.000 0.500
7 S 0.500 0.280 0.731
8 S 0.000 0.728 0.741

Here are the calculated total DFT energy (no corrections) numbers, same order: -3.374; -2.833; -4.454; -4.560; -2.692; -3.426; -2.127; -2.868; -2.529; -2.244; -2.325; -2.675; -3.427; -3.693; -2.899; -3.575; -4.362; -2.395; -1.808; -2.299; -2.371; -2.331; -2.013; -2.572; -2.165; -2.328; -5.175 (eV/atom).